A relaxed structure of Cs2AlNCl6, computed with GGA-PBE.

Results
N(E_F), states/eV/f.u.: 3.18
Mass density, g cm⁻³: 3.1
Uncorrected formation energy, eV per atom: -0.88

Cell lengths 6.9749, 6.9749, 11.3869 Å; angles 90.00, 90.00, 90.00 degrees
Closest atoms and distances in Å follow each position.
Space group I4/mmm (No. 139)
Asymmetric unit:
Cs1 0.0000 0.5000 0.2500 x4  12 Cl 3.53-3.77
Al1 0.0000 0.0000 0.0000 x2  6 Cl 2.28-2.42
N1 0.0000 0.0000 0.5000 x2  4 Cl 2.51
Cl1 0.0000 0.0000 0.2005 x4  1 Al 2.28
Cl2 0.2451 0.2451 0.0000 x8  1 Al 2.42, 1 N 2.51